Record 1
VASP calculation (PBE) on a relaxed BaLiMgGa crystal.

Structure (POSCAR):
```
BaLiMgGa
1.0
-0.049 3.310 4.191
-4.283 3.048 0.946
-3.146 -1.041 4.188
Ba Mg Ga Li
1 1 1 1
direct
0.500 0.500 0.500
0.000 0.000 0.000
0.250 0.250 0.250
0.750 0.750 0.750
```

**DOS at the Fermi energy**: 2.86 states/eV/f.u.
**Energy above the lowest structure with this stoichiometry**: 9 kJ/mol of formula units
**Space group**: F-43m
**Calculated formation energy**: -0.164 eV/atom



Record 2
VASP calculation (PBE) on a relaxed BaLi2MgGa crystal.

Structure (POSCAR):
```
BaLi2MgGa
1.0
5.216 0.000 0.000
0.000 5.216 0.000
0.000 0.000 5.187
Mg Li Ga Ba
1 2 1 1
direct
0.000 0.000 0.500
0.500 0.000 0.000
0.000 0.500 0.000
0.000 0.000 0.000
0.500 0.500 0.500
```

**DOS at the Fermi energy**: 2.59 states/eV/f.u.
**Space group**: P4/mmm
**Calculated formation energy**: -0.094 eV/atom